# 1
BeCdSn | GGA-PBE | optimized geometry

Values from the calculation:
Final energy = -2.637 eV/atom
DOS at the Fermi energy = 1.86 states/eV/cell
DFT formation energy = 0.245 eV per atom

a b c (Å): 4.8807 3.8122 6.5295
angles (deg): 90.00 95.02 90.00
Last column: nearest neighbours and their distance in Å.
Sites, in units of the cell vectors:
Cd 0.1966 0.5000 0.7013  3 Be 2.72-2.86, 1 Cd 2.98
Cd 0.0227 0.5000 0.2529  4 Be 2.63-2.76
Be 0.4867 0.5000 0.0767  2 Be 2.21
Be 0.2605 0.0000 0.0286  2 Be 2.21
Sn 0.7311 0.0000 0.8780  4 Be 2.58-2.68
Sn 0.5592 0.0000 0.3885  3 Be 2.65-2.79

# 2
RbBaIn2Pt | GGA-PBE | optimized geometry

Values from the calculation:
Final energy = -3.169 eV/atom
DOS at the Fermi energy = 3.79 states/eV/cell
DFT formation energy = -0.287 eV per atom

a b c (Å): 5.4188 5.4188 6.0281
angles (deg): 90.00 90.00 90.00
Last column: nearest neighbours and their distance in Å.
Sites, in units of the cell vectors:
In 0.0000 0.5000 0.0000  2 Pt 2.71
In 0.5000 0.0000 0.0000  2 Pt 2.71
Rb 0.5000 0.5000 0.5000  4 Ba 3.83, 8 In 4.05
Pt 0.0000 0.0000 0.0000  4 In 2.71, 2 Ba 3.01
Ba 0.0000 0.0000 0.5000  2 Pt 3.01

# 3
Y2ErCd6 | GGA-PBE | optimized geometry

Values from the calculation:
Final energy = -2.879 eV/atom
DOS at the Fermi energy = 6.66 states/eV/cell
DFT formation energy = -0.325 eV per atom

a b c (Å): 3.4445 8.5921 8.5921
angles (deg): 120.00 90.00 90.00
Last column: nearest neighbours and their distance in Å.
Sites, in units of the cell vectors:
Cd 0.5000 0.0000 0.6673  3 Cd 2.86-2.88
Cd 0.5000 0.0000 0.3327  3 Cd 2.86-2.88
Cd 0.5000 0.6673 0.6673  3 Cd 2.86-2.88
Cd 0.5000 0.6673 0.0000  3 Cd 2.86-2.88
Cd 0.5000 0.3327 0.3327  3 Cd 2.86-2.88
Cd 0.5000 0.3327 0.0000  3 Cd 2.86-2.88
Y 0.0000 0.3333 0.6667  12 Cd 3.34, 2 Y 3.44
Y 0.0000 0.6667 0.3333  12 Cd 3.34, 2 Y 3.44
Er 0.0000 0.0000 0.0000  12 Cd 3.34, 2 Er 3.44

# 4
YZr3Os | GGA-PBE | optimized geometry

Values from the calculation:
Final energy = -6.707 eV/atom
Energy above the lowest structure with this stoichiometry = 40.94 kcal/mol of atoms
DOS at the Fermi energy = 8.32 states/eV/cell
DFT formation energy = 1.961 eV per atom

a b c (Å): 4.9621 4.9621 4.9621
angles (deg): 90.00 90.00 90.00
Last column: nearest neighbours and their distance in Å.
Sites, in units of the cell vectors:
Zr 0.5000 0.0000 0.0000  2 Y 2.48
Zr 0.0000 0.5000 0.0000  2 Y 2.48
Zr 0.0000 0.0000 0.5000  2 Y 2.48
Os 0.5000 0.5000 0.5000  12 Zr 3.51
Y 0.0000 0.0000 0.0000  6 Zr 2.48

# 5
Te2CI | GGA-PBE | optimized geometry

Values from the calculation:
Final energy = -3.315 eV/atom
Energy above the lowest structure with this stoichiometry = 1.23 kcal/mol of atoms
Formation energy without anion corrections = 21.897 kcal/mol of atoms
DOS at the Fermi energy = 4.35 states/eV/cell

a b c (Å): 7.2501 7.2501 6.6301
angles (deg): 56.86 56.86 90.00
Last column: nearest neighbours and their distance in Å.
Sites, in units of the cell vectors:
Te 0.5019 0.1250 0.2500  2 C 2.29
Te 0.2481 0.6250 0.2500  2 C 2.29
Te 0.3750 0.4981 0.7500  2 C 2.29
Te 0.8750 0.7519 0.7500  2 C 2.29
I 0.0000 0.0000 0.0000  8 Te 3.42-3.75
I 0.7500 0.2500 0.5000  8 Te 3.42-3.75
C 0.5000 0.5000 0.0000  4 Te 2.29
C 0.2500 0.7500 0.5000  4 Te 2.29

# 6
Hf5Fe2Ir | GGA-PBE | optimized geometry

Values from the calculation:
Final energy = -9.843 eV/atom
DOS at the Fermi energy = 13.43 states/eV/cell
DFT formation energy = -0.399 eV per atom

a b c (Å): 6.6147 6.6147 8.1011
angles (deg): 114.10 114.10 90.00
Last column: nearest neighbours and their distance in Å.
Sites, in units of the cell vectors:
Ir 0.7500 0.7500 0.5000  8 Hf 2.83
Ir 0.2500 0.2500 0.5000  8 Hf 2.83
Hf 0.0247 0.5247 0.7108  3 Fe 2.67-2.77, 2 Ir 2.83
Hf 0.3139 0.8139 0.2892  3 Fe 2.67-2.77, 2 Ir 2.83
Hf 0.5247 0.6861 0.7108  3 Fe 2.67-2.77, 2 Ir 2.83
Hf 0.8139 0.9753 0.2892  3 Fe 2.67-2.77, 2 Ir 2.83
Hf 0.5000 0.5000 0.0000  4 Fe 2.59
Hf 0.4753 0.3139 0.2892  3 Fe 2.67-2.77, 2 Ir 2.83
Hf 0.6861 0.1861 0.7108  3 Fe 2.67-2.77, 2 Ir 2.83
Hf 0.9753 0.4753 0.2892  3 Fe 2.67-2.77, 2 Ir 2.83
Hf 0.0000 0.0000 0.0000  4 Fe 2.59
Hf 0.1861 0.0247 0.7108  3 Fe 2.67-2.77, 2 Ir 2.83
Fe 0.6319 0.1319 0.0000  1 Fe 2.47, 4 Hf 2.59-2.67
Fe 0.3681 0.8681 0.0000  1 Fe 2.47, 4 Hf 2.59-2.67
Fe 0.1319 0.3681 0.0000  1 Fe 2.47, 4 Hf 2.59-2.67
Fe 0.8681 0.6319 0.0000  1 Fe 2.47, 4 Hf 2.59-2.67

# 7
Be5PtAu4 | GGA-PBE | optimized geometry

Values from the calculation:
Final energy = -4.015 eV/atom
DOS at the Fermi energy = 3.38 states/eV/cell
DFT formation energy = -0.237 eV per atom

a b c (Å): 2.9462 2.9462 14.7440
angles (deg): 90.00 90.00 90.00
Last column: nearest neighbours and their distance in Å.
Sites, in units of the cell vectors:
Be 0.5000 0.5000 0.9104  4 Pt 2.47, 4 Au 2.61, 1 Be 2.64
Be 0.5000 0.5000 0.5000  8 Au 2.57
Be 0.5000 0.5000 0.2983  8 Au 2.55-2.57
Be 0.5000 0.5000 0.7017  8 Au 2.55-2.57
Be 0.5000 0.5000 0.0896  4 Pt 2.47, 4 Au 2.61, 1 Be 2.64
Au 0.0000 0.0000 0.1965  8 Be 2.57-2.61
Au 0.0000 0.0000 0.8035  8 Be 2.57-2.61
Au 0.0000 0.0000 0.6016  8 Be 2.55-2.57
Au 0.0000 0.0000 0.3984  8 Be 2.55-2.57
Pt 0.0000 0.0000 0.0000  8 Be 2.47

# 8
CaTc2Rh | GGA-PBE | optimized geometry

Values from the calculation:
Final energy = -6.823 eV/atom
Energy above the lowest structure with this stoichiometry = 12.18 kcal/mol of atoms
DOS at the Fermi energy = 9.71 states/eV/cell
DFT formation energy = 0.698 eV per atom

a b c (Å): 7.6552 7.6552 5.9925
angles (deg): 50.30 50.30 90.00
Last column: nearest neighbours and their distance in Å.
Sites, in units of the cell vectors:
Ca 0.2500 0.7500 0.5000  2 Rh 2.57
Ca 0.5000 0.5000 0.0000  2 Rh 2.57
Tc 0.6765 0.1250 0.2500  2 Rh 2.53, 2 Tc 2.69
Tc 0.0735 0.6250 0.2500  2 Rh 2.53, 2 Tc 2.69
Tc 0.3750 0.3235 0.7500  2 Rh 2.53, 2 Tc 2.69
Tc 0.8750 0.9265 0.7500  2 Rh 2.53, 2 Tc 2.69
Rh 0.7500 0.2500 0.5000  4 Tc 2.53, 2 Ca 2.57
Rh 0.0000 0.0000 0.0000  4 Tc 2.53, 2 Ca 2.57

# 9
Cu5Hg3Br12 | GGA-PBE | optimized geometry

Values from the calculation:
Final energy = -2.334 eV/atom
Formation energy without anion corrections = -6.012 kcal/mol of atoms
DOS at the Fermi energy = 46.69 states/eV/cell

a b c (Å): 14.2209 14.2209 14.2209
angles (deg): 109.47 109.47 109.47
Last column: nearest neighbours and their distance in Å.
Sites, in units of the cell vectors:
Br 0.0593 0.8858 0.3672  2 Cu 2.43-2.62
Br 0.0186 0.3858 0.8265  2 Cu 2.43-2.62
Br 0.3079 0.4407 0.8265  2 Cu 2.43-2.62
Br 0.1735 0.0593 0.6921  2 Cu 2.43-2.62
Br 0.1735 0.1142 0.9814  2 Cu 2.43-2.62
Br 0.5186 0.1921 0.1328  2 Cu 2.43-2.62
Br 0.3858 0.0186 0.3265  2 Cu 2.43-2.62
Br 0.1328 0.6921 0.5186  2 Cu 2.43-2.62
Br 0.3079 0.8672 0.9814  2 Cu 2.43-2.62
Br 0.8858 0.0593 0.8672  2 Cu 2.43-2.62
Br 0.9814 0.6142 0.1735  2 Cu 2.43-2.62
Br 0.4407 0.1328 0.6142  2 Cu 2.43-2.62
Br 0.3672 0.9814 0.8079  2 Cu 2.43-2.62
Br 0.8079 0.4814 0.3672  2 Cu 2.43-2.62
Br 0.6921 0.5593 0.1735  2 Cu 2.43-2.62
Br 0.5593 0.6921 0.6735  2 Cu 2.43-2.62
Br 0.8079 0.3265 0.9407  2 Cu 2.43-2.62
Br 0.1328 0.4407 0.1142  2 Cu 2.43-2.62
Br 0.4407 0.3079 0.3265  2 Cu 2.43-2.62
Br 0.6735 0.4814 0.6142  2 Cu 2.43-2.62
Br 0.6142 0.6328 0.4407  2 Cu 2.43-2.62
Br 0.5186 0.3265 0.8858  2 Cu 2.43-2.62
Br 0.4814 0.8079 0.8672  2 Cu 2.43-2.62
Br 0.6328 0.6142 0.9407  2 Cu 2.43-2.62
Br 0.1921 0.6735 0.0593  2 Cu 2.43-2.62
Br 0.9814 0.3672 0.3079  2 Cu 2.43-2.62
Br 0.8265 0.8858 0.0186  2 Cu 2.43-2.62
Br 0.3672 0.3858 0.0593  2 Cu 2.43-2.62
Br 0.1142 0.1735 0.4814  2 Cu 2.43-2.62
Br 0.3265 0.5186 0.3858  2 Cu 2.43-2.62
Br 0.4814 0.6735 0.1142  2 Cu 2.43-2.62
Br 0.5593 0.8672 0.3858  2 Cu 2.43-2.62
Br 0.0186 0.6328 0.6921  2 Cu 2.43-2.62
Br 0.0593 0.1735 0.1921  2 Cu 2.43-2.62
Br 0.8672 0.3079 0.4814  2 Cu 2.43-2.62
Br 0.6328 0.0186 0.1921  2 Cu 2.43-2.62
Br 0.6142 0.9814 0.6735  2 Cu 2.43-2.62
Br 0.3265 0.8079 0.4407  2 Cu 2.43-2.62
Br 0.8858 0.8265 0.5186  2 Cu 2.43-2.62
Br 0.6735 0.1921 0.5593  2 Cu 2.43-2.62
Br 0.1921 0.5186 0.6328  2 Cu 2.43-2.62
Br 0.9407 0.8265 0.8079  2 Cu 2.43-2.62
Br 0.6921 0.1328 0.0186  2 Cu 2.43-2.62
Br 0.3858 0.3672 0.5593  2 Cu 2.43-2.62
Br 0.8672 0.5593 0.8858  2 Cu 2.43-2.62
Br 0.1142 0.9407 0.1328  2 Cu 2.43-2.62
Br 0.9407 0.1142 0.6328  2 Cu 2.43-2.62
Br 0.8265 0.9407 0.3079  2 Cu 2.43-2.62
Hg 0.1250 0.8750 0.7500  4 Br 2.94
Hg 0.2500 0.1250 0.3750  4 Br 2.94
Hg 0.3750 0.6250 0.2500  4 Br 2.94
Hg 0.7500 0.8750 0.6250  4 Br 2.94
Hg 0.8750 0.7500 0.1250  4 Br 2.94
Hg 0.6250 0.2500 0.3750  4 Br 2.94
Hg 0.8750 0.1250 0.2500  4 Br 2.94
Hg 0.3750 0.7500 0.6250  4 Br 2.94
Hg 0.7500 0.3750 0.1250  4 Br 2.94
Hg 0.6250 0.3750 0.7500  4 Br 2.94
Hg 0.2500 0.6250 0.8750  4 Br 2.94
Hg 0.1250 0.2500 0.8750  4 Br 2.94
Cu 0.0000 0.0000 0.0000  6 Br 2.62
Cu 0.6250 0.8750 0.2500  4 Br 2.43
Cu 0.2500 0.8750 0.1250  4 Br 2.43
Cu 0.7500 0.6250 0.3750  4 Br 2.43
Cu 0.2500 0.3750 0.6250  4 Br 2.43
Cu 0.0000 0.5000 0.5000  6 Br 2.62
Cu 0.5000 0.0000 0.0000  6 Br 2.62
Cu 0.1250 0.7500 0.3750  4 Br 2.43
Cu 0.7500 0.1250 0.8750  4 Br 2.43
Cu 0.3750 0.2500 0.1250  4 Br 2.43
Cu 0.6250 0.7500 0.8750  4 Br 2.43
Cu 0.3750 0.1250 0.7500  4 Br 2.43
Cu 0.5000 0.0000 0.5000  6 Br 2.62
Cu 0.8750 0.6250 0.7500  4 Br 2.43
Cu 0.5000 0.5000 0.0000  6 Br 2.62
Cu 0.0000 0.0000 0.5000  6 Br 2.62
Cu 0.0000 0.5000 0.0000  6 Br 2.62
Cu 0.8750 0.2500 0.6250  4 Br 2.43
Cu 0.1250 0.3750 0.2500  4 Br 2.43
Cu 0.5000 0.5000 0.5000  6 Br 2.62

# 10
SmEu2Au | GGA-PBE | optimized geometry

Values from the calculation:
Final energy = -7.471 eV/atom
Energy above the lowest structure with this stoichiometry = 0.00 kcal/mol of atoms
DOS at the Fermi energy = 7.35 states/eV/cell
DFT formation energy = -0.334 eV per atom

a b c (Å): 3.7511 3.7511 9.0955
angles (deg): 90.00 90.00 90.00
Last column: nearest neighbours and their distance in Å.
Sites, in units of the cell vectors:
Au 0.5000 0.5000 0.0000  8 Eu 3.21
Sm 0.5000 0.5000 0.5000  4 Sm 3.75, 8 Eu 3.82
Eu 0.0000 0.0000 0.1985  4 Au 3.21
Eu 0.0000 0.0000 0.8015  4 Au 3.21

| no. | magnetization (μB/atom) |
| --- | --- |
| 1 | 0.00 |
| 2 | 0.00 |
| 3 | 0.00 |
| 4 | 0.00 |
| 5 | 0.00 |
| 6 | 0.00 |
| 7 | 0.00 |
| 8 | 0.00 |
| 9 | 0.00 |
| 10 | 3.71 |